#1
The following is a GGA-PBEsol calculation of a geometry-optimized MgZn4Cu structure, from the Alexandria database.

The space group is Pmma (No. 51) and the conventional cell measures 8.3807, 2.8970 and 7.1464 Å, with angles of 90.00, 90.00 and 90.00 degrees. The asymmetric unit holds Mg at (0.2500, 0.0000, 0.0512), Zn at (0.0000, 0.0000, 0.5000), Zn at (0.0270, 0.5000, 0.8173), Zn at (0.2500, 0.5000, 0.3866) and Cu at (0.2500, 0.0000, 0.6825).

---

#2
The following is a GGA-PBEsol calculation of a geometry-optimized MgZn4Cu structure, from the Alexandria database.

The space group is F-43m (No. 216) and the conventional cell measures 7.0245, 7.0245 and 7.0245 Å, with angles of 90.00, 90.00 and 90.00 degrees. The asymmetric unit holds Mg at (0.0000, 0.0000, 0.0000), Zn at (0.1246, 0.1246, 0.3754) and Cu at (0.2500, 0.2500, 0.7500).

---

Most stable structure, least stable structure: #1, #2.

---

#1
The following is a GGA-PBEsol calculation of a geometry-optimized MgZn3Cu2 structure, from the Alexandria database.

The space group is P6_3/mmc (No. 194) and the conventional cell measures 4.2183, 4.2183 and 10.7345 Å, with angles of 90.00, 90.00 and 120.00 degrees. The asymmetric unit holds Mg at (0.0000, 0.0000, 0.2500), Zn at (0.0000, 0.0000, 0.0000), Zn at (0.3333, 0.6667, 0.1088) and Cu at (0.3333, 0.6667, 0.6284).

---

#2
The following is a GGA-PBEsol calculation of a geometry-optimized MgZn3Cu2 structure, from the Alexandria database.

The space group is Cmcm (No. 63) and the conventional cell measures 8.6837, 8.2211 and 4.9406 Å, with angles of 90.00, 90.00 and 90.00 degrees. The asymmetric unit holds Mg at (0.0000, 0.1220, 0.2500), Zn at (0.0000, 0.4821, 0.2500), Zn at (0.1694, 0.2452, 0.7500) and Cu at (0.2483, 0.5000, 0.0000).

---

Most stable structure, least stable structure: #1, #2.

---

#1
The following is a GGA-PBEsol calculation of a geometry-optimized MgZn4Cu8 structure, from the Alexandria database.

The space group is I4/mmm (No. 139) and the conventional cell measures 8.3437, 8.3437 and 4.8100 Å, with angles of 90.00, 90.00 and 90.00 degrees. The asymmetric unit holds Mg at (0.0000, 0.0000, 0.0000), Zn at (0.2500, 0.2500, 0.2500), Cu at (0.0000, 0.2142, 0.5000) and Cu at (0.0000, 0.3555, 0.0000).

---

#2
The following is a GGA-PBEsol calculation of a geometry-optimized MgZn4Cu8 structure, from the Alexandria database.

The space group is I4/m (No. 87) and the conventional cell measures 9.3817, 9.3817 and 3.6605 Å, with angles of 90.00, 90.00 and 90.00 degrees. The asymmetric unit holds Mg at (0.0000, 0.0000, 0.0000), Zn at (0.0372, 0.2082, 0.5000), Cu at (0.0710, 0.3848, 0.0000) and Cu at (0.1575, 0.7681, 0.0000).

---

Most stable structure, least stable structure: #2, #1.

---

#1
The following is a GGA-PBEsol calculation of a geometry-optimized Mg2Zn2Cu structure, from the Alexandria database.

The space group is Cmc2_1 (No. 36) and the conventional cell measures 4.3770, 13.5071 and 5.3961 Å, with angles of 90.00, 90.00 and 90.00 degrees. The asymmetric unit holds Mg at (0.0000, 0.0692, 0.0000), Mg at (0.0000, 0.3273, 0.2226), Zn at (0.0000, 0.2866, 0.7290), Zn at (0.0000, 0.4641, 0.8320) and Cu at (0.0000, 0.1407, 0.4523).

---

#2
The following is a GGA-PBEsol calculation of a geometry-optimized Mg2Zn2Cu structure, from the Alexandria database.

The space group is C2/m (No. 12) and the conventional cell measures 10.1931, 2.9788 and 5.9771 Å, with angles of 90.00, 113.13 and 90.00 degrees. The asymmetric unit holds Mg at (0.1317, 0.0000, 0.2786), Zn at (0.1642, 0.0000, 0.8246) and Cu at (0.0000, 0.5000, 0.5000).

---

#3
The following is a GGA-PBEsol calculation of a geometry-optimized Mg2Zn2Cu structure, from the Alexandria database.

The space group is C2/c (No. 15) and the conventional cell measures 9.0348, 5.3501 and 6.9923 Å, with angles of 90.00, 108.60 and 90.00 degrees. The asymmetric unit holds Mg at (0.1629, 0.1158, 0.1386), Zn at (0.1149, 0.3655, 0.4771) and Cu at (0.0000, 0.2760, 0.7500).

---

Most stable structure, least stable structure: #3, #2.